## CaInGa3 (PBE-GGA)

Data for a relaxed CaInGa3 crystal.

Results
energy above the lowest structure with this stoichiometry: 234 kJ/mol of formula units
total moment: 0.0 Bohr magnetons per cell
ΔE_f: 22 kJ per mole of atoms

CIF file:
```
data_CaInGa3
_chemical_formula_sum 'Ca1 In1 Ga3'
_cell_length_a 5.3031
_cell_length_b 5.3031
_cell_length_c 5.3031
_cell_angle_alpha 90.00
_cell_angle_beta 90.00
_cell_angle_gamma 90.00
_space_group_name_H-M_alt 'P m -3 m'
_space_group_IT_number 221
_space_group_name_Hall '-P 4 2 3'
loop_
_atom_site_label
_atom_site_fract_x
_atom_site_fract_y
_atom_site_fract_z
Ca1 0.0000 0.0000 0.0000
In1 0.5000 0.5000 0.5000
Ga1 0.0000 0.5000 0.5000
```